VASP calculation (GGA-PBE) on a relaxed structure of TlCd2TcBi.

Summary:
Its density is 6962 kg/m³. The energy relative to the elements comes out at 1.0084 eV/atom. The value obtained for the density of states at the Fermi level is 0.87 states/eV per atom.

Lattice parameters (Å, degrees): 5.770 5.770 5.273 90.00 90.00 90.00
Space group P4/mmm (No. 123)
Asymmetric unit:
Tl  0.000  0.000  0.000 x1
Cd  0.000  0.500  0.500 x2
Tc  0.500  0.500  0.000 x1
Bi  0.500  0.500  0.500 x1